[1]
A geometry-optimized BaSb structure. Source: the Alexandria database, functional GGA-PBE.

a b c (Å): 12.7365 4.8934 5.3155
angles (deg): 90.00 99.87 90.00
Space group C2/m (No. 12)
Unique sites:
1 Ba 0.1264 0.0000 0.2403 (multiplicity 4)
2 Sb 0.0930 0.5000 0.7014 (multiplicity 4)

Calculated density, g/cm3: 5.27
E, eV per atom: -3.960
Total magnetization, μB per cell: 0.00


[2]
A geometry-optimized Ba4Sb structure. Source: the Alexandria database, functional GGA-PBE.

a b c (Å): 6.8293 6.8293 6.8293
angles (deg): 90.00 90.00 90.00
Space group Pm-3m (No. 221)
Unique sites:
1 Ba 0.0000 0.0000 0.0000 (multiplicity 1)
2 Ba 0.0000 0.5000 0.5000 (multiplicity 3)
3 Sb 0.5000 0.5000 0.5000 (multiplicity 1)

Offset from the most stable computed form, eV/f.u.: 0.000
Calculated density, g/cm3: 3.50
Total magnetization, μB per cell: 0.00


[3]
A geometry-optimized Ba5Sb structure. Source: the Alexandria database, functional GGA-PBE.

a b c (Å): 4.4240 4.4240 17.0445
angles (deg): 90.00 90.00 90.00
Space group P4/mmm (No. 123)
Unique sites:
1 Ba 0.0000 0.0000 0.0000 (multiplicity 1)
2 Ba 0.0000 0.0000 0.3952 (multiplicity 2)
3 Ba 0.5000 0.5000 0.1891 (multiplicity 2)
4 Sb 0.5000 0.5000 0.5000 (multiplicity 1)

Offset from the most stable computed form, eV/f.u.: 0.010
Calculated density, g/cm3: 4.02
Total magnetization, μB per cell: 0.03